{
  "formula": "Tl2TcSe",
  "functional": "GGA-PBE",
  "state": "relaxed",
  "spacegroup": "No. 44",
  "e_form_raw_mev_per_atom": 198,
  "volume_a3_per_cell": 97.7,
  "relative_energy_mev_per_atom": 136,
  "magnetic_moment_mub_per_fu": 0.003,
  "lattice_angstrom": [[-2.205, -2.416, 6.319], [3.434, -1.834, 5.956], [-1.865, 4.493, -5.192]],
  "species": ["Tc", "Tl", "Tl", "Se"],
  "fractional_positions": [[0.276, 0.776, 0.500], [0.745, 0.245, 0.500], [0.060, 0.060, 0.000], [0.419, 0.419, 0.000]]
}

{
  "formula": "Cs2P2PbSe6",
  "functional": "GGA-PBE",
  "state": "relaxed",
  "spacegroup": "No. 12",
  "e_form_raw_mev_per_atom": -548,
  "volume_a3_per_cell": 373.2,
  "magnetic_moment_mub_per_fu": 0.000,
  "lattice_angstrom": [[7.522, 0.000, 0.000], [-3.761, 6.501, -0.239], [0.000, -4.043, 7.780]],
  "species": ["P", "Cs", "P", "Cs", "Se", "Se", "Se", "Se", "Pb", "Se", "Se"],
  "fractional_positions": [[0.052, 0.104, 0.157], [0.264, 0.529, 0.790], [0.948, 0.896, 0.843], [0.736, 0.471, 0.210], [0.237, 0.976, 0.217], [0.261, 0.024, 0.783], [0.763, 0.024, 0.783], [0.739, 0.976, 0.217], [0.500, 0.000, 0.500], [0.761, 0.522, 0.781], [0.239, 0.478, 0.219]]
}